Density functional theory data (GGA-PBE) for Pm2Y2Er3 after structural relaxation.

abc: 3.5126 8.5220 8.9312
angles: 118.43 101.34 90.00
Closest atoms and distances in Å follow each position.
Fractional coordinates of all 7 atoms:
1 Pm 0.5671 0.9110 0.1341  3 Pm 3.36-3.51, 5 Er 3.44-3.57, 4 Y 3.61-3.75
2 Pm 0.4330 0.0890 0.8659  3 Pm 3.36-3.51, 5 Er 3.44-3.57, 4 Y 3.61-3.75
3 Y 0.8508 0.6674 0.7017  4 Y 3.51-3.73, 4 Er 3.53-3.61, 4 Pm 3.61-3.75
4 Y 0.1492 0.3326 0.2983  4 Y 3.51-3.73, 4 Er 3.53-3.61, 4 Pm 3.61-3.75
5 Er 0.0000 0.5000 0.0000  4 Er 3.33-3.51, 2 Y 3.53, 4 Pm 3.57
6 Er 0.2115 0.8006 0.4229  5 Er 3.33-3.51, 3 Pm 3.44-3.56, 3 Y 3.59-3.61
7 Er 0.7885 0.1994 0.5771  5 Er 3.33-3.51, 3 Pm 3.44-3.56, 3 Y 3.59-3.61

* electronic total energy: -0.3705 Ry per atom
* calculated formation energy: 80 kJ/mol of formula units
* polymorph energy (0 for the lowest one): 0.000 eV per atom